Arrangement i

This record from OQMD via LeMat-Bulk describes RbNbNO after structural relaxation. The functional is PBE.

Cell lengths 6.3169, 8.4276, 5.9906 Å; angles 90.00, 90.00, 90.00 degrees
Closest atoms and distances in Å follow each position.
Element x y z (fractional)
N: 0.9871 0.7178 0.5339  1 Nb 1.80
N: 0.4871 0.2822 0.5339  1 Nb 1.80
N: 0.5129 0.7178 0.0339  1 Nb 1.80
N: 0.0129 0.2822 0.0339  1 Nb 1.80
O: 0.3967 0.0711 0.1484  3 Nb 2.06-2.08
O: 0.1033 0.0711 0.6484  3 Nb 2.06-2.08
O: 0.6033 0.9289 0.6484  3 Nb 2.06-2.08
O: 0.8967 0.9289 0.1484  3 Nb 2.06-2.08
Nb: 0.6025 0.9179 0.9915  1 N 1.80
Nb: 0.1025 0.0821 0.9915  1 N 1.80
Nb: 0.8975 0.9179 0.4915  1 N 1.80
Nb: 0.3975 0.0821 0.4915  1 N 1.80
Rb: 0.5518 0.3667 0.0286  1 O 2.77, 3 N 2.97-3.08
Rb: 0.9482 0.3667 0.5286  1 O 2.77, 3 N 2.97-3.08
Rb: 0.4482 0.6333 0.5286  1 O 2.77, 3 N 2.97-3.08
Rb: 0.0518 0.6333 0.0286  1 O 2.77, 3 N 2.97-3.08

Arrangement ii

This record from OQMD via LeMat-Bulk describes RbNbNO after structural relaxation. The functional is PBE.

Cell lengths 3.6821, 6.2904, 6.8362 Å; angles 90.00, 90.00, 90.00 degrees
Closest atoms and distances in Å follow each position.
Element x y z (fractional)
Nb: 0.0000 0.5005 0.3360  2 N 1.93, 2 O 2.02
Nb: 0.0000 0.0005 0.6640  2 N 1.93, 2 O 2.02
O: 0.5000 0.9974 0.7859  2 Nb 2.02
O: 0.5000 0.4974 0.2141  2 Nb 2.02
Rb: 0.5000 0.5011 0.8000  3 O 2.83-3.17, 2 N 3.14
Rb: 0.5000 0.0011 0.2000  3 O 2.83-3.17, 2 N 3.14
N: 0.0000 0.7549 0.4947  2 Nb 1.93
N: 0.0000 0.2549 0.5053  2 Nb 1.93

Arrangement iii

This record from OQMD via LeMat-Bulk describes RbNbNO after structural relaxation. The functional is PBE.

Cell lengths 4.0043, 4.0043, 11.0529 Å; angles 90.00, 90.00, 90.00 degrees
Closest atoms and distances in Å follow each position.
Element x y z (fractional)
N: 0.7500 0.7500 0.4423  4 Nb 2.10
N: 0.2500 0.2500 0.5577  4 Nb 2.10
Rb: 0.7500 0.7500 0.8413  4 O 2.66
Rb: 0.2500 0.2500 0.1587  4 O 2.66
Nb: 0.7500 0.2500 0.5000  4 N 2.10
Nb: 0.2500 0.7500 0.5000  4 N 2.10
O: 0.7500 0.2500 0.0000  4 Rb 2.66, 4 O 2.83
O: 0.2500 0.7500 0.0000  4 Rb 2.66, 4 O 2.83

Structures ranked by computed energy, the most stable listed first: arrangement ii, arrangement i, arrangement iii.

Arrangement i

This record from OQMD via LeMat-Bulk describes NbReNO after structural relaxation. The functional is PBE.

Cell lengths 5.1919, 5.1919, 3.9025 Å; angles 104.21, 104.21, 82.13 degrees
Closest atoms and distances in Å follow each position.
Element x y z (fractional)
O: 0.6690 0.0292 0.1170  2 Re 2.01-2.20, 1 Nb 2.23
O: 0.0292 0.6690 0.1170  2 Re 2.01-2.20, 1 Nb 2.23
Nb: 0.2977 0.2977 0.9234  2 N 1.92-1.98
Nb: 0.8683 0.8683 0.6047  1 N 2.16, 4 O 2.23-2.39
N: 0.3111 0.3111 0.4400  2 Nb 1.92-1.98, 2 Re 2.03
N: 0.5882 0.5882 0.2664  2 Re 2.00, 2 Nb 2.16-2.23
Re: 0.3277 0.9089 0.2657  2 N 2.00-2.03, 2 O 2.01-2.20
Re: 0.9089 0.3277 0.2657  2 N 2.00-2.03, 2 O 2.01-2.20

Arrangement ii

This record from OQMD via LeMat-Bulk describes NbReNO after structural relaxation. The functional is PBE.

Cell lengths 4.2181, 4.2180, 4.8499 Å; angles 90.00, 90.00, 90.00 degrees
Closest atoms and distances in Å follow each position.
Element x y z (fractional)
N: 0.7500 0.7500 0.3612  1 Re 2.15, 4 Nb 2.21
N: 0.2500 0.2500 0.6388  1 Re 2.15, 4 Nb 2.21
O: 0.2500 0.7500 0.0000  4 Re 2.15
O: 0.7500 0.2500 0.0000  4 Re 2.15
Nb: 0.7500 0.2500 0.5000  4 N 2.21, 2 O 2.42
Nb: 0.2500 0.7500 0.5000  4 N 2.21, 2 O 2.42
Re: 0.2500 0.2500 0.0816  4 O 2.15, 1 N 2.15
Re: 0.7500 0.7500 0.9184  4 O 2.15, 1 N 2.15

Arrangement iii

This record from OQMD via LeMat-Bulk describes NbReNO after structural relaxation. The functional is PBE.

Cell lengths 3.8440, 3.8440, 6.3325 Å; angles 90.00, 90.00, 90.00 degrees
Closest atoms and distances in Å follow each position.
Element x y z (fractional)
Nb: 0.2500 0.2500 0.1437  4 O 2.13
Nb: 0.7500 0.7500 0.8563  4 O 2.13
Re: 0.2500 0.7500 0.5000  4 N 2.13
Re: 0.7500 0.2500 0.5000  4 N 2.13
O: 0.2500 0.7500 0.0000  4 Nb 2.13
O: 0.7500 0.2500 0.0000  4 Nb 2.13
N: 0.7500 0.7500 0.3564  4 Re 2.13
N: 0.2500 0.2500 0.6436  4 Re 2.13

Arrangement iv

This record from OQMD via LeMat-Bulk describes NbReNO after structural relaxation. The functional is PBE.

Cell lengths 2.9421, 6.6601, 4.8777 Å; angles 90.00, 90.00, 90.00 degrees
Closest atoms and distances in Å follow each position.
Element x y z (fractional)
Re: 0.0000 0.0434 0.6734  2 N 1.97-2.08, 2 O 2.12
Re: 0.0000 0.5434 0.3266  2 N 1.97-2.08, 2 O 2.12
N: 0.0000 0.3386 0.6478  2 Re 1.97-2.08, 2 Nb 2.11
N: 0.0000 0.8386 0.3522  2 Re 1.97-2.08, 2 Nb 2.11
O: 0.5000 0.3431 0.1773  2 Nb 2.09-2.15, 2 Re 2.12
O: 0.5000 0.8431 0.8227  2 Nb 2.09-2.15, 2 Re 2.12
Nb: 0.5000 0.0289 0.1823  2 O 2.09-2.15, 2 N 2.11
Nb: 0.5000 0.5289 0.8177  2 O 2.09-2.15, 2 N 2.11

Structures ranked by computed energy, the most stable listed first: arrangement iv, arrangement i, arrangement iii, arrangement ii.

Arrangement i

This record from OQMD via LeMat-Bulk describes NbSbNO after structural relaxation. The functional is PBE.

Cell lengths 6.2626, 8.3701, 5.8733 Å; angles 90.00, 90.00, 90.00 degrees
Closest atoms and distances in Å follow each position.
Element x y z (fractional)
N: 0.1053 0.0536 0.6425  3 Nb 1.98-2.01
N: 0.3948 0.0536 0.1425  3 Nb 1.98-2.01
N: 0.8947 0.9464 0.1425  3 Nb 1.98-2.01
N: 0.6053 0.9464 0.6425  3 Nb 1.98-2.01
Nb: 0.1126 0.0762 0.9823  1 O 1.87, 3 N 1.98-2.01
Nb: 0.8874 0.9238 0.4823  1 O 1.87, 3 N 1.98-2.01
Nb: 0.6126 0.9238 0.9823  1 O 1.87, 3 N 1.98-2.01
Nb: 0.3874 0.0762 0.4823  1 O 1.87, 3 N 1.98-2.01
Sb: 0.1771 0.5257 0.0386  1 O 2.12
Sb: 0.8229 0.4743 0.5386  1 O 2.12
Sb: 0.6771 0.4743 0.0386  1 O 2.12
Sb: 0.3229 0.5257 0.5386  1 O 2.12
O: 0.4514 0.2914 0.5389  1 Nb 1.87
O: 0.5486 0.7086 0.0389  1 Nb 1.87
O: 0.9514 0.7086 0.5389  1 Nb 1.87
O: 0.0486 0.2914 0.0389  1 Nb 1.87

Arrangement ii

This record from OQMD via LeMat-Bulk describes NbSbNO after structural relaxation. The functional is PBE.

Cell lengths 3.2365, 6.7751, 6.8019 Å; angles 90.00, 90.00, 90.00 degrees
Closest atoms and distances in Å follow each position.
Element x y z (fractional)
N: 0.0000 0.3737 0.6990  2 Nb 2.01-2.09
N: 0.0000 0.6264 0.1990  2 Nb 2.01-2.09
Nb: 0.0000 0.3986 0.9929  2 O 1.95, 2 N 2.01-2.09
Nb: 0.0000 0.6014 0.4929  2 O 1.95, 2 N 2.01-2.09
Sb: 0.5000 0.7668 0.9927  2 N 2.34
Sb: 0.5000 0.2332 0.4927  2 N 2.34
O: 0.5000 0.7451 0.5614  2 Nb 1.95
O: 0.5000 0.2549 0.0614  2 Nb 1.95

Arrangement iii

This record from OQMD via LeMat-Bulk describes NbSbNO after structural relaxation. The functional is PBE.

Cell lengths 4.0410, 4.0410, 7.9840 Å; angles 90.00, 90.00, 90.00 degrees
Closest atoms and distances in Å follow each position.
Element x y z (fractional)
Nb: 0.2500 0.7500 0.5000  4 N 2.10
Nb: 0.7500 0.2500 0.5000  4 N 2.10
N: 0.2500 0.2500 0.5715  4 Nb 2.10
N: 0.7500 0.7500 0.4285  4 Nb 2.10
Sb: 0.2500 0.2500 0.1399  4 O 2.31
Sb: 0.7500 0.7500 0.8601  4 O 2.31
O: 0.7500 0.2500 0.0000  4 Sb 2.31
O: 0.2500 0.7500 0.0000  4 Sb 2.31

Arrangement iv

This record from OQMD via LeMat-Bulk describes NbSbNO after structural relaxation. The functional is PBE.

Cell lengths 3.6118, 5.9253, 6.8433 Å; angles 90.00, 90.00, 90.00 degrees
Closest atoms and distances in Å follow each position.
Element x y z (fractional)
Nb: 0.5000 0.0245 0.1610  2 O 1.90-2.02, 2 N 1.99
Nb: 0.5000 0.5245 0.8390  2 O 1.90-2.02, 2 N 1.99
N: 0.0000 0.8972 0.2173  2 Nb 1.99, 1 Sb 2.19
N: 0.0000 0.3972 0.7827  2 Nb 1.99, 1 Sb 2.19
O: 0.5000 0.3320 0.0830  2 Nb 1.90-2.02
O: 0.5000 0.8320 0.9170  2 Nb 1.90-2.02
Sb: 0.0000 0.0003 0.5251  1 N 2.19
Sb: 0.0000 0.5003 0.4749  1 N 2.19

Structures ranked by computed energy, the most stable listed first: arrangement i, arrangement iv, arrangement ii, arrangement iii.